First-principles (PBE) data for YHRh3 after structural relaxation, as listed in the Alexandria database.

a b c (Å): 5.2316 5.2316 6.6906
angles (deg): 66.99 66.99 90.00
With the nearest neighbours (Å) after each atom.
Element x y z (fractional)
1 Y 0.5680 0.0680 0.8640  4 Rh 2.71-2.78, 2 H 2.72
2 Y 0.9320 0.4320 0.1360  4 Rh 2.71-2.78, 2 H 2.72
3 H 0.0000 0.0000 0.0000  4 Rh 2.10
4 H 0.2500 0.7500 0.5000  4 Rh 1.75
5 Rh 0.0921 0.8502 0.2996  1 H 1.75
6 Rh 0.1498 0.9079 0.7004  1 H 1.75
7 Rh 0.1498 0.3918 0.7004  1 H 1.75
8 Rh 0.6082 0.8502 0.2996  1 H 1.75
9 Rh 0.3701 0.3701 0.2597  2 Y 2.71, 7 Rh 2.76-2.95, 2 H 2.94
10 Rh 0.6299 0.6299 0.7403  2 Y 2.71, 7 Rh 2.76-2.95, 2 H 2.94

Calculated values
VASP energy: -6.532 eV per atom
crystal system: tetragonal
density of states at the Fermi level: 6.8 states/eV/f.u.
offset from the most stable computed form: 0.335 eV per atom
total magnetization: 0.00 μB/f.u.


First-principles (PBE) data for Rb2LiHg2 after structural relaxation, as listed in the Alexandria database.

a b c (Å): 10.6136 10.6136 3.8263
angles (deg): 90.00 90.00 90.00
With the nearest neighbours (Å) after each atom.
Element x y z (fractional)
1 Hg 0.1040 0.6040 0.5000  1 Hg 3.12
2 Hg 0.6040 0.8960 0.5000  1 Hg 3.12
3 Hg 0.8960 0.3960 0.5000  1 Hg 3.12
4 Hg 0.3960 0.1040 0.5000  1 Hg 3.12
5 Rb 0.3137 0.8137 0.0000  6 Hg 3.68-3.73, 2 Rb 3.83, 2 Li 3.87
6 Rb 0.8137 0.6863 0.0000  6 Hg 3.68-3.73, 2 Rb 3.83, 2 Li 3.87
7 Rb 0.6863 0.1863 0.0000  6 Hg 3.68-3.73, 2 Rb 3.83, 2 Li 3.87
8 Rb 0.1863 0.3137 0.0000  6 Hg 3.68-3.73, 2 Rb 3.83, 2 Li 3.87
9 Li 0.0000 0.0000 0.0000  2 Li 3.83, 4 Rb 3.87
10 Li 0.5000 0.5000 0.0000  2 Li 3.83, 4 Rb 3.87

Calculated values
VASP energy: -0.909 eV per atom
crystal system: tetragonal
density of states at the Fermi level: 2.8 states/eV/f.u.
offset from the most stable computed form: 0.161 eV per atom
total magnetization: 0.00 μB/f.u.